*i*
Entry from Alexandria: a relaxed structure of Nd2Dy5Tm4 (PBE-GGA).

Output
Crystal system: monoclinic
Calculated density in g/cm³: 8.312
DOS(E_F) in states/eV/cell: 17.71
Calculated volume in Å³ per cell: 355.0
Total magnetization in Bohr magnetons per cell: 0.00

Cell: 6.615 6.615 9.239 Å, 75.32 75.32 67.16°
Atoms (fractional coordinates):
Nd (0.147, 0.147, 0.876)
Nd (0.853, 0.853, 0.124)
Dy (0.651, 0.214, 0.777)
Dy (0.349, 0.786, 0.223)
Dy (0.000, 0.000, 0.500)
Dy (0.214, 0.651, 0.777)
Dy (0.786, 0.349, 0.223)
Tm (0.323, 0.323, 0.497)
Tm (0.677, 0.677, 0.503)
Tm (0.670, 0.670, 0.876)
Tm (0.330, 0.330, 0.124)

---

*ii*
Entry from Alexandria: a relaxed structure of Nd2Dy5Tm4 (PBE-GGA).

Output
Crystal system: orthorhombic
Calculated density in g/cm³: 8.149
DOS(E_F) in states/eV/cell: 15.48
Calculated volume in Å³ per cell: 362.0
Total magnetization in Bohr magnetons per cell: 0.00

Cell: 3.477 8.975 12.561 Å, 110.93 97.95 90.00°
Atoms (fractional coordinates):
Nd (0.267, 0.267, 0.535)
Nd (0.733, 0.733, 0.465)
Dy (0.859, 0.055, 0.718)
Dy (0.859, 0.664, 0.718)
Dy (0.141, 0.336, 0.282)
Dy (0.141, 0.945, 0.282)
Dy (0.500, 0.000, 0.000)
Tm (0.000, 0.313, 0.000)
Tm (0.597, 0.597, 0.194)
Tm (0.000, 0.687, 0.000)
Tm (0.403, 0.403, 0.806)

---

Question: of the structures shown, which is the most stable? Reply: *i*.